Record 1
DFT (PBE) results for Ho8Bi2Os after structural relaxation.

```
11
Lattice="-2.427 1.733 4.014 -5.811 -0.422 -3.331 2.435 -9.447 2.436" Properties=species:S:1:pos:R:3 pbc="T T T"
Ho -1.265 -7.487 5.583
Bi -4.004 -3.429 -0.941
Os -1.214 0.867 2.007
Ho -3.649 -0.829 1.267
Bi -1.798 -4.707 4.060
Ho -2.154 -7.306 1.852
Ho -1.386 -3.885 0.839
Ho -4.417 -4.251 2.280
Ho -4.538 -0.649 -2.464
Ho -4.857 -6.558 -0.105
Ho -0.946 -1.577 3.224
```

***

Record 2
DFT (PBE) results for Ho3InRh2 after structural relaxation.

```
6
Lattice="-2.350 0.896 2.218 1.241 -2.201 2.204 7.225 8.357 4.279" Properties=species:S:1:pos:R:3 pbc="T T T"
Ho 2.130 2.464 1.262
Ho 0.000 0.000 0.000
Rh 0.534 0.606 2.856
In 3.058 3.526 4.350
Ho 5.095 5.893 3.017
Rh 5.583 6.446 5.845
```

***

Spin magnetization (μB/f.u.)
0.00 0.00
Electronic total energy (eV/atom)
-5.377 -5.944
Volume (Å³ per cell)
314 133